The following is a GGA-PBE calculation of an optimized crystal structure of HoCu12Ge6, from the Alexandria database.

Cell lengths 6.835, 6.835, 6.835 Å; angles 102.93, 102.93, 102.93 degrees
Fractional coordinates of all 19 atoms:
1 Ho 0.000 0.000 0.000
2 Cu 0.888 0.112 0.500
3 Cu 0.873 0.627 0.627
4 Cu 0.627 0.627 0.873
5 Cu 0.373 0.127 0.373
6 Cu 0.373 0.373 0.127
7 Cu 0.127 0.373 0.373
8 Cu 0.112 0.500 0.888
9 Cu 0.500 0.888 0.112
10 Cu 0.112 0.888 0.500
11 Cu 0.888 0.500 0.112
12 Cu 0.500 0.112 0.888
13 Cu 0.627 0.873 0.627
14 Ge 0.698 0.276 0.276
15 Ge 0.276 0.276 0.698
16 Ge 0.276 0.698 0.276
17 Ge 0.724 0.724 0.302
18 Ge 0.302 0.724 0.724
19 Ge 0.724 0.302 0.724

Calculated values
Total magnetic moment = 0.000 μB per atom
V = 15.3 Å³/atom
Symmetry = R-3m (166)
D(E_F) = 6.5 states/eV/cell
Formation energy from the elements = 0.076 eV/atom